Entry from Alexandria via LeMat-Bulk: a geometry-optimized Dy2Sc3Cu2 structure (GGA-PBE).

Values from the calculation:
Final energy: -37.0 eV/cell
Energy of formation: -93 meV per atom
Space group: C2/m

Lattice parameters (Å, degrees): 4.6501 5.7064 7.3458 113.29 90.00 114.04
Element x y z (fractional)
Dy 0.8662 0.7323 0.2139
Dy 0.1338 0.2677 0.7861
Sc 0.5000 0.0000 0.0000
Sc 0.6411 0.2821 0.4630
Sc 0.3589 0.7179 0.5370
Cu 0.8619 0.7239 0.8135
Cu 0.1381 0.2761 0.1865